[1]
SrCo2Os: single point on PBEsol structure, SCAN.

Unit cell a=2.8452 b=2.8452 c=7.5775 alpha=90.00 beta=90.00 gamma=90.00
Last column: nearest neighbours and their distance in Å.
Sites, in units of the cell vectors:
1 Co 0.0000 0.0000 0.1930  4 Os 2.49
2 Co 0.0000 0.0000 0.8070  4 Os 2.49
3 Os 0.5000 0.5000 0.0000  8 Co 2.49
4 Sr 0.5000 0.5000 0.5000  4 Sr 2.85, 8 Co 3.08

Calculated values
formation enthalpy at 0 K	677	meV/atom
distance to the lowest polymorph of the same formula	0.0000	eV per atom
symmetry	P4/mmm
total magnetization	2.680	μB/cell
N(E_F)	3.9	states/eV per cell

[2]
SrCoOs: single point on PBEsol structure, SCAN.

Unit cell a=4.5012 b=4.5012 c=4.5012 alpha=60.00 beta=60.00 gamma=60.00
Last column: nearest neighbours and their distance in Å.
Sites, in units of the cell vectors:
1 Os 0.5000 0.5000 0.5000  4 Sr 2.76
2 Co 0.0000 0.0000 0.0000  4 Sr 2.76
3 Sr 0.7500 0.7500 0.7500  4 Co 2.76, 4 Os 2.76

Calculated values
formation enthalpy at 0 K	2300	meV/atom
symmetry	F-43m
total magnetization	3.380	μB/cell
N(E_F)	6.2	states/eV per cell

[3]
Sr2CoOs: single point on PBEsol structure, SCAN.

Unit cell a=3.9967 b=5.0099 c=5.8163 alpha=115.51 beta=110.10 gamma=90.00
Last column: nearest neighbours and their distance in Å.
Sites, in units of the cell vectors:
1 Sr 0.7709 0.2709 0.5418  2 Co 3.14, 4 Sr 3.22-3.46, 4 Os 3.34
2 Sr 0.9800 0.9800 0.9600  2 Os 3.13, 4 Sr 3.22-3.46, 4 Co 3.34
3 Os 0.1737 0.6737 0.3473  2 Co 2.21
4 Co 0.5755 0.5755 0.1510  2 Os 2.21

Calculated values
formation enthalpy at 0 K	455	meV/atom
distance to the lowest polymorph of the same formula	0.0000	eV per atom
symmetry	Imm2
total magnetization	0.000	μB/cell
N(E_F)	3.7	states/eV per cell

[4]
Sr2CoOs: single point on PBEsol structure, SCAN.

Unit cell a=4.2973 b=4.4886 c=4.4886 alpha=90.00 beta=90.00 gamma=90.00
Last column: nearest neighbours and their distance in Å.
Sites, in units of the cell vectors:
1 Os 0.5000 0.0000 0.0000  8 Sr 3.11, 4 Co 3.17
2 Sr 0.0000 0.0000 0.5000  4 Os 3.11, 4 Co 3.11, 4 Sr 3.17
3 Sr 0.0000 0.5000 0.0000  4 Os 3.11, 4 Co 3.11, 4 Sr 3.17
4 Co 0.5000 0.5000 0.5000  8 Sr 3.11, 4 Os 3.17

Calculated values
formation enthalpy at 0 K	957	meV/atom
distance to the lowest polymorph of the same formula	0.5025	eV per atom
symmetry	P4/mmm
total magnetization	2.106	μB/cell
N(E_F)	3.1	states/eV per cell

[5]
Sr2CoOs: single point on PBEsol structure, SCAN.

Unit cell a=4.8114 b=5.1520 c=4.8114 alpha=62.16 beta=90.00 gamma=117.84
Last column: nearest neighbours and their distance in Å.
Sites, in units of the cell vectors:
1 Sr 0.2500 0.5000 0.2500  4 Co 3.09, 4 Os 3.09, 4 Sr 3.40
2 Sr 0.7500 0.5000 0.7500  4 Co 3.09, 4 Os 3.09, 4 Sr 3.40
3 Os 0.5000 0.0000 0.5000  8 Sr 3.09, 4 Co 3.40
4 Co 0.0000 0.0000 0.0000  8 Sr 3.09, 4 Os 3.40

Calculated values
formation enthalpy at 0 K	869	meV/atom
distance to the lowest polymorph of the same formula	0.4144	eV per atom
symmetry	I4/mmm
total magnetization	2.114	μB/cell
N(E_F)	2.6	states/eV per cell

[6]
SrTlCo2Os: single point on PBEsol structure, SCAN.

Unit cell a=4.6829 b=4.6829 c=5.6112 alpha=90.00 beta=90.00 gamma=90.00
Last column: nearest neighbours and their distance in Å.
Sites, in units of the cell vectors:
1 Os 0.5000 0.5000 0.5000  4 Sr 3.31, 8 Co 3.65
2 Co 0.5000 0.0000 0.0000  2 Tl 2.34
3 Co 0.0000 0.5000 0.0000  2 Tl 2.34
4 Tl 0.0000 0.0000 0.0000  4 Co 2.34
5 Sr 0.0000 0.0000 0.5000  2 Tl 2.81

Calculated values
formation enthalpy at 0 K	1871	meV/atom
symmetry	P4/mmm
total magnetization	6.435	μB/cell
N(E_F)	4.0	states/eV per cell

[7]
TaCo2Os: single point on PBEsol structure, SCAN.

Unit cell a=3.7185 b=3.7185 c=4.5236 alpha=114.27 beta=114.27 gamma=90.00
Last column: nearest neighbours and their distance in Å.
Sites, in units of the cell vectors:
1 Ta 0.0000 0.0000 0.0000  8 Co 2.62, 4 Os 2.63
2 Co 0.7500 0.2500 0.5000  4 Ta 2.62, 4 Os 2.62, 4 Co 2.63
3 Co 0.2500 0.7500 0.5000  4 Ta 2.62, 4 Os 2.62, 4 Co 2.63
4 Os 0.5000 0.5000 0.0000  8 Co 2.62, 4 Ta 2.63

Calculated values
formation enthalpy at 0 K	-57	meV/atom
distance to the lowest polymorph of the same formula	0.0582	eV per atom
symmetry	I4/mmm
total magnetization	0.287	μB/cell
N(E_F)	2.6	states/eV per cell

[8]
TaCoOs2: single point on PBEsol structure, SCAN.

Unit cell a=3.1323 b=3.1323 c=5.7006 alpha=90.00 beta=90.00 gamma=90.00
Last column: nearest neighbours and their distance in Å.
Sites, in units of the cell vectors:
1 Os 0.0000 0.0000 0.2740  4 Co 2.56, 1 Os 2.58, 4 Ta 2.71
2 Os 0.0000 0.0000 0.7260  4 Co 2.56, 1 Os 2.58, 4 Ta 2.71
3 Ta 0.5000 0.5000 0.0000  8 Os 2.71, 2 Co 2.85
4 Co 0.5000 0.5000 0.5000  8 Os 2.56, 2 Ta 2.85

Calculated values
formation enthalpy at 0 K	-49	meV/atom
symmetry	P4/mmm
total magnetization	2.271	μB/cell
N(E_F)	3.6	states/eV per cell

[9]
TaCo2Os: single point on PBEsol structure, SCAN.

Unit cell a=2.6772 b=4.4936 c=4.5506 alpha=99.65 beta=90.00 gamma=107.33
Last column: nearest neighbours and their distance in Å.
Sites, in units of the cell vectors:
1 Os 0.5082 0.0164 0.5445  5 Co 2.45-2.52, 2 Os 2.68, 1 Ta 2.71
2 Co 0.2494 0.4989 0.7364  3 Os 2.49-2.52, 5 Co 2.59-2.68, 4 Ta 2.61-2.67
3 Co 0.9953 0.9905 0.9916  2 Os 2.45, 3 Ta 2.55-2.61, 5 Co 2.59-2.68
4 Ta 0.7471 0.4943 0.2275  7 Co 2.55-2.67, 2 Ta 2.68, 3 Os 2.71-2.78

Calculated values
formation enthalpy at 0 K	84	meV/atom
distance to the lowest polymorph of the same formula	0.1994	eV per atom
symmetry	Cm
total magnetization	0.006	μB/cell
N(E_F)	3.5	states/eV per cell

[10]
TaCo2Os: single point on PBEsol structure, SCAN.

Unit cell a=3.6644 b=3.7236 c=3.7236 alpha=90.00 beta=90.00 gamma=90.00
Last column: nearest neighbours and their distance in Å.
Sites, in units of the cell vectors:
1 Co 0.0000 0.5000 0.0000  4 Ta 2.61, 4 Os 2.61, 4 Co 2.63
2 Co 0.0000 0.0000 0.5000  4 Ta 2.61, 4 Os 2.61, 4 Co 2.63
3 Os 0.5000 0.5000 0.5000  8 Co 2.61, 4 Ta 2.63
4 Ta 0.5000 0.0000 0.0000  8 Co 2.61, 4 Os 2.63

Calculated values
formation enthalpy at 0 K	-115	meV/atom
distance to the lowest polymorph of the same formula	0.0000	eV per atom
symmetry	P4/mmm
total magnetization	0.916	μB/cell
N(E_F)	2.8	states/eV per cell

[11]
TaCoOs2: single point on PBEsol structure, SCAN.

Unit cell a=3.8028 b=3.8028 c=3.8144 alpha=90.00 beta=90.00 gamma=90.00
Last column: nearest neighbours and their distance in Å.
Sites, in units of the cell vectors:
1 Os 0.0000 0.5000 0.0000  4 Os 2.69, 4 Ta 2.69, 4 Co 2.69
2 Os 0.5000 0.0000 0.0000  4 Os 2.69, 4 Ta 2.69, 4 Co 2.69
3 Co 0.0000 0.0000 0.5000  4 Ta 2.69, 8 Os 2.69
4 Ta 0.5000 0.5000 0.5000  4 Co 2.69, 8 Os 2.69

Calculated values
formation enthalpy at 0 K	-164	meV/atom
symmetry	P4/mmm
total magnetization	0.727	μB/cell
N(E_F)	3.7	states/eV per cell

[12]
TaCoOs2: single point on PBEsol structure, SCAN.

Unit cell a=2.7138 b=2.7138 c=7.5262 alpha=90.00 beta=90.00 gamma=90.00
Last column: nearest neighbours and their distance in Å.
Sites, in units of the cell vectors:
1 Os 0.5000 0.5000 0.2319  8 Os 2.64-2.71, 4 Ta 2.87
2 Os 0.0000 0.0000 0.9904  4 Co 2.58, 8 Os 2.64-2.71
3 Co 0.5000 0.5000 0.7617  4 Os 2.58, 4 Ta 2.66, 4 Co 2.71
4 Ta 0.0000 0.0000 0.5160  4 Co 2.66, 4 Ta 2.71, 4 Os 2.87

Calculated values
formation enthalpy at 0 K	65	meV/atom
symmetry	P4mm
total magnetization	0.000	μB/cell
N(E_F)	2.4	states/eV per cell

[13]
TaCoOs: single point on PBEsol structure, SCAN.

Unit cell a=4.0356 b=4.0356 c=4.0356 alpha=60.00 beta=60.00 gamma=60.00
Last column: nearest neighbours and their distance in Å.
Sites, in units of the cell vectors:
1 Co 0.2500 0.2500 0.2500  4 Ta 2.47, 4 Os 2.47
2 Ta 0.5000 0.5000 0.5000  4 Co 2.47
3 Os 0.0000 0.0000 0.0000  4 Co 2.47

Calculated values
formation enthalpy at 0 K	308	meV/atom
symmetry	F-43m
total magnetization	1.408	μB/cell
N(E_F)	1.6	states/eV per cell

[14]
TaCo6Os: single point on PBEsol structure, SCAN.

Unit cell a=6.1643 b=6.1643 c=10.0641 alpha=90.00 beta=90.00 gamma=109.49
Last column: nearest neighbours and their distance in Å.
Sites, in units of the cell vectors:
1 Co 0.1163 0.3728 0.6229  8 Co 2.43-2.58, 3 Os 2.48-2.52, 1 Ta 2.58
2 Co 0.3681 0.1204 0.1287  1 Os 2.46, 8 Co 2.48-2.59, 3 Ta 2.51-2.55
3 Co 0.0000 0.0000 0.0000  8 Co 2.50, 2 Os 2.51, 2 Ta 2.55
4 Co 0.3681 0.1204 0.8713  1 Os 2.46, 8 Co 2.48-2.59, 3 Ta 2.51-2.55
5 Co 0.6319 0.8796 0.8713  1 Os 2.46, 8 Co 2.48-2.59, 3 Ta 2.51-2.55
6 Co 0.2455 0.7545 0.7437  8 Co 2.43-2.59, 2 Os 2.46-2.47, 2 Ta 2.56-2.58
7 Co 0.8796 0.6319 0.1287  1 Os 2.46, 8 Co 2.48-2.59, 3 Ta 2.51-2.55
8 Co 0.5000 0.5000 0.0000  4 Ta 2.48-2.50, 8 Co 2.56
9 Co 0.3728 0.1163 0.6229  8 Co 2.43-2.58, 3 Os 2.48-2.52, 1 Ta 2.58
10 Co 0.7545 0.2455 0.7437  8 Co 2.43-2.59, 2 Os 2.46-2.47, 2 Ta 2.56-2.58
11 Co 0.0000 0.0000 0.5000  8 Co 2.49, 4 Os 2.53-2.59
12 Co 0.1204 0.3681 0.8713  1 Os 2.46, 8 Co 2.48-2.59, 3 Ta 2.51-2.55
13 Co 0.6319 0.8796 0.1287  1 Os 2.46, 8 Co 2.48-2.59, 3 Ta 2.51-2.55
14 Co 0.3728 0.1163 0.3771  8 Co 2.43-2.58, 3 Os 2.48-2.52, 1 Ta 2.58
15 Co 0.6272 0.8837 0.6229  8 Co 2.43-2.58, 3 Os 2.48-2.52, 1 Ta 2.58
16 Co 0.5000 0.5000 0.5000  2 Os 2.45, 2 Ta 2.53, 8 Co 2.55
17 Co 0.2455 0.7545 0.2563  8 Co 2.43-2.59, 2 Os 2.46-2.47, 2 Ta 2.56-2.58
18 Co 0.8837 0.6272 0.3771  8 Co 2.43-2.58, 3 Os 2.48-2.52, 1 Ta 2.58
19 Co 0.8837 0.6272 0.6229  8 Co 2.43-2.58, 3 Os 2.48-2.52, 1 Ta 2.58
20 Co 0.6272 0.8837 0.3771  8 Co 2.43-2.58, 3 Os 2.48-2.52, 1 Ta 2.58
21 Co 0.8796 0.6319 0.8713  1 Os 2.46, 8 Co 2.48-2.59, 3 Ta 2.51-2.55
22 Co 0.1204 0.3681 0.1287  1 Os 2.46, 8 Co 2.48-2.59, 3 Ta 2.51-2.55
23 Co 0.1163 0.3728 0.3771  8 Co 2.43-2.58, 3 Os 2.48-2.52, 1 Ta 2.58
24 Co 0.7545 0.2455 0.2563  8 Co 2.43-2.59, 2 Os 2.46-2.47, 2 Ta 2.56-2.58
25 Os 0.7432 0.2568 0.5000  12 Co 2.45-2.59
26 Os 0.0000 0.0000 0.7510  12 Co 2.46-2.53
27 Os 0.2568 0.7432 0.5000  12 Co 2.45-2.59
28 Os 0.0000 0.0000 0.2490  12 Co 2.46-2.53
29 Ta 0.2534 0.7466 0.0000  12 Co 2.48-2.58
30 Ta 0.5000 0.5000 0.2481  12 Co 2.50-2.58
31 Ta 0.5000 0.5000 0.7519  12 Co 2.50-2.58
32 Ta 0.7466 0.2534 0.0000  12 Co 2.48-2.58

Calculated values
formation enthalpy at 0 K	125	meV/atom
symmetry	Cmmm
total magnetization	17.870	μB/cell
N(E_F)	23.7	states/eV per cell

[15]
Ta4CoOs: single point on PBEsol structure, SCAN.

Unit cell a=5.2040 b=5.2040 c=5.2040 alpha=60.00 beta=60.00 gamma=60.00
Last column: nearest neighbours and their distance in Å.
Sites, in units of the cell vectors:
1 Co 0.7500 0.7500 0.7500  12 Ta 3.05, 4 Os 3.19
2 Ta 0.3745 0.3745 0.3745  6 Ta 2.59-2.61
3 Ta 0.8765 0.3745 0.3745  6 Ta 2.59-2.61
4 Ta 0.3745 0.8765 0.3745  6 Ta 2.59-2.61
5 Ta 0.3745 0.3745 0.8765  6 Ta 2.59-2.61
6 Os 0.0000 0.0000 0.0000  12 Ta 3.05, 4 Co 3.19

Calculated values
formation enthalpy at 0 K	606	meV/atom
symmetry	F-43m
total magnetization	0.000	μB/cell
N(E_F)	5.9	states/eV per cell